Density functional theory data (GGA-PBE) for Sm2Ho8Sc3 after structural relaxation.

## Properties
Total magnetic moment (μB per formula unit): 0.0
Relative energy among the computed polymorphs (eV per formula unit): 0.00
Formation enthalpy at 0 K (eV per atom): 0.04
E (eV per atom): -4.960

Cell lengths 6.0284, 6.0409, 10.9829 Å; angles 90.03, 100.47, 99.52 degrees
With the nearest neighbours (Å) after each atom.
Space group P-1 (No. 2)
Inequivalent atoms, fractional coordinates:
Sm1 0.1157 0.2694 0.4607 (multiplicity 2)  2 Sm 3.49-3.50, 10 Ho 3.50-3.58
Ho1 0.0406 0.4180 0.1472 (multiplicity 2)  6 Ho 3.36-3.50, 5 Sc 3.40-3.51, 1 Sm 3.53
Ho2 0.1933 0.1207 0.7795 (multiplicity 2)  4 Sc 3.34-3.46, 6 Ho 3.48-3.50, 2 Sm 3.57-3.58
Ho3 0.3462 0.8076 0.3784 (multiplicity 2)  1 Sc 3.45, 7 Ho 3.47-3.62, 4 Sm 3.50-3.53
Ho4 0.4241 0.6592 0.7005 (multiplicity 2)  2 Sc 3.40-3.43, 7 Ho 3.46-3.62, 3 Sm 3.50-3.56
Sc1 0.2730 0.9612 0.0731 (multiplicity 2)  8 Ho 3.34-3.51, 4 Sc 3.39-3.50
Sc2 0.5000 0.5000 0.0000 (multiplicity 1)  8 Ho 3.39-3.48, 4 Sc 3.46-3.47